[1]
A relaxed TaSeO3 crystal, computed with PBE-GGA.

Cell lengths 4.006, 4.006, 4.006 Å; angles 90.00, 90.00, 90.00 degrees
Fractional coordinates of all 5 atoms:
1 Ta 0.000 0.000 0.000
2 Se 0.500 0.500 0.500
3 O 0.000 0.000 0.500
4 O 0.000 0.500 0.000
5 O 0.500 0.000 0.000

Results
Fermi-level density of states ... 1.40 states/eV/atom
ΔE_f (raw) ... -1.404 eV/atom

---

[2]
A relaxed AsRu3 crystal, computed with PBE-GGA.

Cell lengths 2.868, 2.868, 6.877 Å; angles 90.00, 90.00, 90.00 degrees
Fractional coordinates of all 4 atoms:
1 As 0.000 0.000 0.000
2 Ru 0.000 0.000 0.500
3 Ru 0.500 0.500 0.233
4 Ru 0.500 0.500 0.767

Results
Formation energy from the elements ... 11.4 kJ per mole of atoms
Fermi-level density of states ... 0.91 states/eV/atom
Excess energy over the best structure of this formula in the dataset ... 54 meV/atom

---

[3]
A relaxed NaMgPaN3 crystal, computed with PBE-GGA.

Cell lengths 6.839, 3.637, 9.502 Å; angles 90.00, 106.94, 90.00 degrees
Fractional coordinates of all 12 atoms:
1 Na 0.068 0.250 0.370
2 Na 0.932 0.750 0.630
3 Mg 0.378 0.250 0.892
4 Mg 0.622 0.750 0.108
5 Pa 0.429 0.750 0.641
6 Pa 0.571 0.250 0.359
7 N 0.232 0.250 0.659
8 N 0.365 0.750 0.403
9 N 0.477 0.250 0.122
10 N 0.523 0.750 0.878
11 N 0.635 0.250 0.597
12 N 0.768 0.750 0.341

Results
Fermi-level density of states ... 0.92 states/eV/atom
ΔE_f (raw) ... -0.718 eV/atom

---

[4]
A relaxed CsVP2S crystal, computed with PBE-GGA.

Cell lengths 5.478, 5.478, 5.241 Å; angles 90.00, 90.00, 90.00 degrees
Fractional coordinates of all 5 atoms:
1 Cs 0.000 0.000 0.000
2 V 0.500 0.500 0.500
3 P 0.000 0.500 0.000
4 P 0.500 0.000 0.000
5 S 0.000 0.000 0.500

Results
Fermi-level density of states ... 1.43 states/eV/atom
Excess energy over the best structure of this formula in the dataset ... 2209 meV/atom
ΔE_f (raw) ... 2.096 eV/atom

---

[5]
A relaxed Ba2LaHRu crystal, computed with PBE-GGA.

Cell lengths 4.940, 4.940, 5.572 Å; angles 90.00, 90.00, 90.00 degrees
Fractional coordinates of all 5 atoms:
1 Ba 0.000 0.500 0.000
2 Ba 0.500 0.000 0.000
3 La 0.000 0.000 0.500
4 H 0.000 0.000 0.000
5 Ru 0.500 0.500 0.500

Results
Fermi-level density of states ... 0.81 states/eV/atom
Total DFT energy (no corrections) ... -3.945 eV/atom

---

[6]
A relaxed SmCo2SiC crystal, computed with PBE-GGA.

Cell lengths 5.606, 5.606, 6.777 Å; angles 90.00, 90.00, 140.37 degrees
Fractional coordinates of all 10 atoms:
1 Sm 0.054 0.946 0.750
2 Sm 0.946 0.054 0.250
3 Co 0.336 0.664 0.557
4 Co 0.336 0.664 0.943
5 Co 0.664 0.336 0.057
6 Co 0.664 0.336 0.443
7 Si 0.226 0.774 0.250
8 Si 0.774 0.226 0.750
9 C 0.500 0.500 0.000
10 C 0.500 0.500 0.500

Results
Fermi-level density of states ... 0.48 states/eV/atom
ΔE_f (raw) ... -0.535 eV/atom

---

[7]
A relaxed LaTbSmSc crystal, computed with PBE-GGA.

Cell lengths 7.991, 7.991, 7.991 Å; angles 90.00, 90.00, 90.00 degrees
Fractional coordinates of all 16 atoms:
1 La 0.000 0.000 0.000
2 La 0.000 0.500 0.500
3 La 0.500 0.000 0.500
4 La 0.500 0.500 0.000
5 Tb 0.250 0.250 0.250
6 Tb 0.250 0.750 0.750
7 Tb 0.750 0.250 0.750
8 Tb 0.750 0.750 0.250
9 Sm 0.000 0.000 0.500
10 Sm 0.000 0.500 0.000
11 Sm 0.500 0.000 0.000
12 Sm 0.500 0.500 0.500
13 Sc 0.250 0.250 0.750
14 Sc 0.250 0.750 0.250
15 Sc 0.750 0.250 0.250
16 Sc 0.750 0.750 0.750

Results
Formation energy from the elements ... 10.0 kJ per mole of atoms
Fermi-level density of states ... 1.71 states/eV/atom
Excess energy over the best structure of this formula in the dataset ... 13 meV/atom

---

[8]
A relaxed YTmSeN crystal, computed with PBE-GGA.

Cell lengths 3.642, 3.642, 19.400 Å; angles 90.00, 90.00, 120.00 degrees
Fractional coordinates of all 12 atoms:
1 Y 0.000 0.000 0.000
2 Y 0.333 0.667 0.667
3 Y 0.667 0.333 0.333
4 Tm 0.000 0.000 0.535
5 Tm 0.333 0.667 0.201
6 Tm 0.667 0.333 0.868
7 Se 0.000 0.000 0.769
8 Se 0.333 0.667 0.435
9 Se 0.667 0.333 0.102
10 N 0.000 0.000 0.264
11 N 0.333 0.667 0.930
12 N 0.667 0.333 0.597

Results
Fermi-level density of states ... 0.26 states/eV/atom
ΔE_f (raw) ... -1.712 eV/atom

---

[9]
A relaxed Ho5Tm5Mg2 crystal, computed with PBE-GGA.

Cell lengths 6.538, 6.538, 11.613 Å; angles 107.38, 107.38, 48.75 degrees
Fractional coordinates of all 12 atoms:
1 Ho 0.000 0.000 0.000
2 Ho 0.057 0.057 0.733
3 Ho 0.193 0.193 0.531
4 Ho 0.807 0.807 0.469
5 Ho 0.943 0.943 0.267
6 Tm 0.246 0.246 0.251
7 Tm 0.321 0.321 0.979
8 Tm 0.500 0.500 0.500
9 Tm 0.679 0.679 0.021
10 Tm 0.754 0.754 0.749
11 Mg 0.433 0.433 0.766
12 Mg 0.567 0.567 0.234

Results
Formation energy from the elements ... 4.5 kJ per mole of atoms
Fermi-level density of states ... 1.39 states/eV/atom

---

[10]
A relaxed BaCaMo2Cl crystal, computed with PBE-GGA.

Cell lengths 4.682, 4.682, 5.360 Å; angles 90.00, 90.00, 90.00 degrees
Fractional coordinates of all 5 atoms:
1 Ba 0.000 0.000 0.000
2 Ca 0.500 0.500 0.000
3 Mo 0.000 0.500 0.500
4 Mo 0.500 0.000 0.500
5 Cl 0.500 0.500 0.500

Results
Fermi-level density of states ... 1.37 states/eV/atom
ΔE_f (raw) ... 0.813 eV/atom

---

[11]
A relaxed Cs2Ho2PaSe6 crystal, computed with PBE-GGA.

Cell lengths 7.260, 7.260, 8.942 Å; angles 97.88, 97.88, 120.01 degrees
Fractional coordinates of all 11 atoms:
1 Cs 0.168 0.832 0.000
2 Cs 0.832 0.168 0.000
3 Ho 0.333 0.667 0.500
4 Ho 0.667 0.333 0.500
5 Pa 0.000 0.000 0.500
6 Se 0.062 0.394 0.682
7 Se 0.271 0.271 0.318
8 Se 0.394 0.062 0.682
9 Se 0.606 0.938 0.318
10 Se 0.729 0.729 0.682
11 Se 0.938 0.606 0.318

Results
Fermi-level density of states ... 0.15 states/eV/atom
ΔE_f (raw) ... -1.662 eV/atom

---

[12]
A relaxed SmTlH crystal, computed with PBE-GGA.

Cell lengths 3.993, 4.564, 6.830 Å; angles 90.00, 106.67, 90.00 degrees
Fractional coordinates of all 6 atoms:
1 Sm 0.169 0.250 0.335
2 Sm 0.831 0.750 0.665
3 Tl 0.422 0.250 0.860
4 Tl 0.578 0.750 0.140
5 H 0.244 0.750 0.488
6 H 0.756 0.250 0.512

Results
Fermi-level density of states ... 0.44 states/eV/atom
Excess energy over the best structure of this formula in the dataset ... 0 meV/atom